VASP calculation (PBE-GGA) on an optimized crystal structure of BaReMo2.

Values from the calculation:
- Density of states at the Fermi level: 5.09 states/eV/f.u.
- Polymorph energy (0 for the lowest one): 0.121 eV per atom
- Formation energy from the elements: 0.8671 eV per atom
- Symmetry: Cm (8)
- Crystal system: monoclinic
- Size of the total moment: 0.00 μB/cell

a = 5.0778 Å, b = 5.0778 Å, c = 6.4541 Å
α = 103.73°, β = 103.73°, γ = 37.36°
Element x y z (fractional)
Ba1 0.0000 0.0000 0.0000
Re1 0.7786 0.7786 0.3742
Mo1 0.2069 0.2069 0.6188
Mo2 0.4915 0.4915 0.4873



VASP calculation (PBE-GGA) on an optimized crystal structure of OsRuSe2Br.

Values from the calculation:
- Density of states at the Fermi level: 5.59 states/eV/f.u.
- Polymorph energy (0 for the lowest one): 0.000 eV per atom
- Symmetry: P4/mmm (123)
- Crystal system: tetragonal
- Size of the total moment: 2.84 μB/cell
- Uncorrected formation energy: 118.36 kJ/mol of atoms

a = 4.7960 Å, b = 4.7960 Å, c = 5.2082 Å
α = 90.00°, β = 90.00°, γ = 90.00°
Element x y z (fractional)
Os1 0.0000 0.0000 0.0000
Ru1 0.5000 0.5000 0.5000
Se1 0.0000 0.5000 0.0000
Se2 0.5000 0.0000 0.0000
Br1 0.0000 0.0000 0.5000



VASP calculation (PBE-GGA) on an optimized crystal structure of SrMn2.

Values from the calculation:
- Density of states at the Fermi level: 2.82 states/eV/f.u.
- Formation energy from the elements: 0.6952 eV per atom
- Symmetry: I4/mmm (139)
- Crystal system: tetragonal
- Size of the total moment: 0.00 μB/cell

a = 6.0654 Å, b = 6.0654 Å, c = 6.0654 Å
α = 149.91°, β = 149.91°, γ = 43.08°
Element x y z (fractional)
Sr1 0.0000 0.0000 0.0000
Mn1 0.2717 0.2717 0.0000
Mn2 0.7283 0.7283 0.0000